# 1
12
Lattice="6.3574 0.0000 0.0000 0.0000 6.3574 0.0000 0.0000 0.0000 6.3574" Properties=species:S:1:pos:R:3 comment="FeRu | Alexandria via LeMat-Bulk | GGA-PBE | relaxed" crystal_system=cubic energy_ev_per_atom=-7.334 volume_a3_per_fu=42.8 m_tot_mub_per_cell=0.07 pbc="T T T"
Fe 0.0000 1.5893 3.1787
Fe 0.0000 4.7680 3.1787
Fe 1.5893 3.1787 0.0000
Fe 3.1787 0.0000 1.5893
Fe 3.1787 0.0000 4.7680
Fe 4.7680 3.1787 0.0000
Ru 0.0000 3.1787 1.5893
Ru 0.0000 3.1787 4.7680
Ru 1.5893 0.0000 3.1787
Ru 3.1787 1.5893 0.0000
Ru 3.1787 4.7680 0.0000
Ru 4.7680 0.0000 3.1787

# 2
7
Lattice="4.6010 0.0000 0.0000 -2.3005 3.9846 0.0000 0.0000 0.0000 4.9092" Properties=species:S:1:pos:R:3 comment="Fe3Ru4 | Alexandria via LeMat-Bulk | GGA-PBE | relaxed" polymorph_energy_kcal_per_mol_atoms=0.000 crystal_system=hexagonal energy_ev_per_atom=-8.725 volume_a3_per_fu=90.0 m_tot_mub_per_cell=5.17 pbc="T T T"
Fe -1.1502 1.9923 0.0000
Fe 2.3005 0.0000 0.0000
Fe 1.1502 1.9923 0.0000
Ru 0.0000 0.0000 1.2609
Ru 0.0000 0.0000 3.6484
Ru 0.0000 2.6564 2.4546
Ru 2.3005 1.3282 2.4546

# 3
18
Lattice="7.1737 0.0000 0.0000 -3.5868 6.2126 0.0000 0.0000 0.0000 5.2047" Properties=species:S:1:pos:R:3 comment="Fe4Ru5 | Alexandria via LeMat-Bulk | GGA-PBE | relaxed" polymorph_energy_kcal_per_mol_atoms=1.831 crystal_system=hexagonal energy_ev_per_atom=-8.691 volume_a3_per_fu=116.0 m_tot_mub_per_cell=12.71 pbc="T T T"
Fe 0.0000 0.0000 0.0000
Fe 0.0000 0.0000 2.6024
Fe -1.2246 2.1211 1.3012
Fe -2.3622 4.0915 3.9035
Fe 2.4492 0.0000 1.3012
Fe 1.2246 2.1211 3.9035
Fe 4.7245 0.0000 3.9035
Fe 2.3622 4.0915 1.3012
Ru -1.1586 2.0068 3.9035
Ru -2.4282 4.2058 1.3012
Ru 2.3172 0.0000 3.9035
Ru 1.1586 2.0068 1.3012
Ru 0.0000 4.1417 0.0000
Ru 0.0000 4.1417 2.6024
Ru 3.5868 2.0709 0.0000
Ru 3.5868 2.0709 2.6024
Ru 4.8564 0.0000 1.3012
Ru 2.4282 4.2058 3.9035

# 4
8
Lattice="4.5517 0.0000 0.0000 0.0000 4.1160 0.0000 0.0000 0.0000 5.1944" Properties=species:S:1:pos:R:3 comment="FeRu | Alexandria via LeMat-Bulk | GGA-PBE | relaxed" crystal_system=orthorhombic energy_ev_per_atom=-8.786 volume_a3_per_fu=24.3 m_tot_mub_per_cell=0.00 pbc="T T T"
Fe 0.3645 1.0290 0.6397
Fe 1.9113 3.0870 3.2369
Fe 2.6403 1.0290 1.9574
Fe 4.1872 3.0870 4.5546
Ru 0.4144 1.0290 3.2558
Ru 1.8614 3.0870 0.6586
Ru 2.6902 1.0290 4.5358
Ru 4.1373 3.0870 1.9386

# 5
4
Lattice="1.4361 -2.1195 0.0000 1.4361 2.1195 0.0000 0.0000 0.0000 8.2235" Properties=species:S:1:pos:R:3 comment="Fe3Ru | Alexandria via LeMat-Bulk | GGA-PBE | relaxed" crystal_system=orthorhombic energy_ev_per_atom=-8.527 volume_a3_per_fu=50.1 m_tot_mub_per_cell=7.99 pbc="T T T"
Fe 0.0000 0.0000 0.0000
Fe 1.4361 0.0000 1.9824
Fe 1.4361 0.0000 6.2410
Ru 0.0000 0.0000 4.1117

# 6
4
Lattice="4.3674 -1.3286 0.0000 4.3674 1.3286 0.0000 -0.8017 0.0000 4.4181" Properties=species:S:1:pos:R:3 comment="FeRu | Alexandria via LeMat-Bulk | GGA-PBE | relaxed" crystal_system=monoclinic energy_ev_per_atom=-8.731 volume_a3_per_fu=25.6 m_tot_mub_per_cell=4.16 pbc="T T T"
Fe 0.7952 0.0000 1.6848
Fe 7.1379 0.0000 2.7333
Ru 3.1720 0.0000 0.5419
Ru 4.7611 0.0000 3.8762